The following is a DFT calculation (PBE) of Tb2SmYS4 after structural relaxation.

Results
**Total energy**: -53.0 eV/cell
**N(E_F)**: 0.62 states/eV per atom

Cell: 6.8516 3.9121 6.8579 Å, 90.00 109.07 90.00°
Last column: nearest neighbours and their distance in Å.
Space group P2/m (No. 10)
One atom of each set of equivalent atoms:
Tb 0.0000 0.0000 0.0000  6 S 2.76
Tb 0.0000 0.5000 0.5000  6 S 2.79-2.80
Sm 0.5000 0.0000 0.5000  6 S 2.82
Y 0.5000 0.5000 0.0000  6 S 2.79
S 0.2451 0.5000 0.2444  3 Tb 2.76-2.80, 1 Y 2.79, 2 Sm 2.82
S 0.2481 0.0000 0.7532  3 Tb 2.76-2.79, 2 Y 2.79, 1 Sm 2.82


The following is a DFT calculation (PBE) of Tb4SmYS8 after structural relaxation.

Results
**Total energy**: -269.4 eV/cell
**N(E_F)**: 0.60 states/eV per atom

Cell: 8.1097 8.1097 19.8512 Å, 90.00 90.00 120.00°
Last column: nearest neighbours and their distance in Å.
Space group R3m (No. 160, hexagonal axes)
One atom of each set of equivalent atoms:
Tb 0.0000 0.0000 0.0000  4 S 2.63
Tb 0.0011 0.5006 0.8752  6 S 2.77-2.78
Sm 0.0000 0.0000 0.7500  4 S 2.67
Y 0.0000 0.0000 0.3748  6 S 2.76-2.78
S 0.0000 0.0000 0.1323  4 Tb 2.63-2.78
S 0.0000 0.0000 0.6157  1 Sm 2.67, 3 Tb 2.77
S 0.0253 0.5126 0.1280  1 Sm 2.67, 1 Y 2.76, 2 Tb 2.77
S 0.1767 0.3534 0.9562  3 Tb 2.63-2.78, 1 Y 2.78


The following is a DFT calculation (PBE) of TbSm2Y3S6 after structural relaxation.

Results
**Total energy**: -164.7 eV/cell
**N(E_F)**: 0.43 states/eV per atom

Cell: 6.8229 11.8608 6.8494 Å, 90.00 109.43 90.00°
Last column: nearest neighbours and their distance in Å.
Space group C2/m (No. 12)
One atom of each set of equivalent atoms:
Tb 0.0000 0.0000 0.0000  6 S 2.79
Sm 0.0000 0.3331 0.0000  6 S 2.82-2.84
Y 0.0000 0.1688 0.5000  6 S 2.76-2.78
Y 0.0000 0.5000 0.5000  6 S 2.76-2.79
S 0.2430 0.0000 0.7429  3 Y 2.77-2.79, 1 Tb 2.79, 2 Sm 2.84
S 0.2496 0.1644 0.2556  3 Y 2.76-2.78, 1 Tb 2.79, 2 Sm 2.82-2.83


The following is a DFT calculation (PBE) of TbSm3Y4S8 after structural relaxation.

Results
**Total energy**: -329.2 eV/cell
**N(E_F)**: 0.57 states/eV per atom

Cell: 7.8977 7.8977 19.4333 Å, 90.00 90.00 120.00°
Last column: nearest neighbours and their distance in Å.
Space group R-3m (No. 166, hexagonal axes)
One atom of each set of equivalent atoms:
Tb 0.0000 0.0000 0.0000  6 S 2.80
Sm 0.0000 0.5000 0.0000  6 S 2.83
Y 0.0000 0.0000 0.5000  6 S 2.79
Y 0.0000 0.5000 0.5000  6 S 2.76
S 0.0000 0.0000 0.2469  3 Y 2.76, 3 Sm 2.83
S 0.0037 0.5018 0.7522  3 Y 2.76-2.79, 1 Tb 2.80, 2 Sm 2.83


The following is a DFT calculation (PBE) of Tb3Sm3YS8 after structural relaxation.

Results
**Total energy**: -295.4 eV/cell
**N(E_F)**: 0.45 states/eV per atom

Cell: 7.9017 7.9017 19.4659 Å, 90.00 90.00 120.00°
Last column: nearest neighbours and their distance in Å.
Space group R-3m (No. 166, hexagonal axes)
One atom of each set of equivalent atoms:
Tb 0.0000 0.5000 0.0000  6 S 2.77
Sm 0.0000 0.5000 0.5000  6 S 2.83
Y 0.0000 0.0000 0.0000  6 S 2.78
S 0.0000 0.0000 0.2524  3 Tb 2.77, 3 Sm 2.83
S 0.0007 0.5004 0.2522  2 Tb 2.77, 1 Y 2.78, 2 Sm 2.83


The following is a DFT calculation (PBE) of TbSm4Y3S8 after structural relaxation.

Results
**Total energy**: -324.2 eV/cell
**N(E_F)**: 0.56 states/eV per atom

Cell: 7.9111 7.9111 19.5343 Å, 90.00 90.00 120.00°
Last column: nearest neighbours and their distance in Å.
Space group R-3m (No. 166, hexagonal axes)
One atom of each set of equivalent atoms:
Tb 0.0000 0.0000 0.0000  6 S 2.77
Sm 0.0000 0.0000 0.5000  6 S 2.84
Sm 0.0000 0.5000 0.5000  6 S 2.84
Y 0.0000 0.5000 0.0000  6 S 2.77
S 0.0000 0.0000 0.2531  3 Y 2.77, 3 Sm 2.84
S 0.0005 0.5002 0.2530  2 Y 2.77, 1 Tb 2.77, 3 Sm 2.84


The following is a DFT calculation (PBE) of TbSmY2S4 after structural relaxation.

Results
**Total energy**: -54.8 eV/cell
**N(E_F)**: 0.63 states/eV per atom

Cell: 6.8436 3.9104 6.8604 Å, 90.00 109.08 90.00°
Last column: nearest neighbours and their distance in Å.
Space group P2/m (No. 10)
One atom of each set of equivalent atoms:
Tb 0.0000 0.0000 0.0000  6 S 2.79
Sm 0.5000 0.5000 0.0000  6 S 2.82
Y 0.0000 0.5000 0.5000  6 S 2.75-2.76
Y 0.5000 0.0000 0.5000  6 S 2.78-2.79
S 0.2444 0.0000 0.7437  3 Y 2.75-2.79, 1 Tb 2.79, 2 Sm 2.82
S 0.2478 0.5000 0.2536  3 Y 2.76-2.78, 2 Tb 2.79, 1 Sm 2.82


The following is a DFT calculation (PBE) of Tb2SmY3S6 after structural relaxation.

Results
**Total energy**: -164.5 eV/cell
**N(E_F)**: 0.42 states/eV per atom

Cell: 6.8023 11.8268 6.8190 Å, 90.00 109.46 90.00°
Last column: nearest neighbours and their distance in Å.
Space group C2/m (No. 12)
One atom of each set of equivalent atoms:
Tb 0.0000 0.1663 0.0000  6 S 2.78-2.79
Sm 0.0000 0.5000 0.0000  6 S 2.81-2.82
Y 0.0000 0.0000 0.5000  6 S 2.75-2.78
Y 0.0000 0.3355 0.5000  6 S 2.76-2.78
S 0.2463 0.0000 0.2524  3 Y 2.75-2.77, 2 Tb 2.78, 1 Sm 2.81
S 0.2464 0.1690 0.7460  3 Y 2.76-2.78, 2 Tb 2.78-2.79, 1 Sm 2.82


The following is a DFT calculation (PBE) of TbSm2YS4 after structural relaxation.

Results
**Total energy**: -53.2 eV/cell
**N(E_F)**: 0.61 states/eV per atom

Cell: 6.8632 3.9278 6.9228 Å, 90.00 109.02 90.00°
Last column: nearest neighbours and their distance in Å.
Space group P2/m (No. 10)
One atom of each set of equivalent atoms:
Tb 0.0000 0.0000 0.0000  6 S 2.77-2.78
Sm 0.0000 0.5000 0.5000  6 S 2.84
Sm 0.5000 0.0000 0.5000  6 S 2.84
Y 0.5000 0.5000 0.0000  6 S 2.77
S 0.2475 0.5000 0.2416  1 Y 2.77, 2 Tb 2.77, 3 Sm 2.84
S 0.2535 0.0000 0.7588  2 Y 2.77, 1 Tb 2.78, 3 Sm 2.84


The following is a DFT calculation (PBE) of Tb3SmY4S8 after structural relaxation.

Results
**Total energy**: -328.5 eV/cell
**N(E_F)**: 0.59 states/eV per atom

Cell: 7.8672 7.8672 19.2797 Å, 90.00 90.00 120.00°
Last column: nearest neighbours and their distance in Å.
Space group R-3m (No. 166, hexagonal axes)
One atom of each set of equivalent atoms:
Tb 0.0000 0.5000 0.0000  6 S 2.79
Sm 0.0000 0.0000 0.0000  6 S 2.82
Y 0.0000 0.0000 0.5000  6 S 2.75
Y 0.0000 0.5000 0.5000  6 S 2.78
S 0.0000 0.0000 0.2497  3 Y 2.78, 3 Tb 2.79
S 0.0036 0.5018 0.2488  3 Y 2.75-2.78, 2 Tb 2.79, 1 Sm 2.82


The following is a DFT calculation (PBE) of TbSm3Y2S6 after structural relaxation.

Results
**Total energy**: -161.4 eV/cell
**N(E_F)**: 0.43 states/eV per atom

Cell: 6.8421 11.8946 6.8849 Å, 90.00 109.39 90.00°
Last column: nearest neighbours and their distance in Å.
Space group C2/m (No. 12)
One atom of each set of equivalent atoms:
Tb 0.0000 0.0000 0.0000  6 S 2.77-2.78
Sm 0.0000 0.1665 0.5000  6 S 2.83-2.84
Sm 0.0000 0.5000 0.5000  6 S 2.83-2.84
Y 0.0000 0.3333 0.0000  6 S 2.77
S 0.2465 0.5000 0.2415  2 Y 2.77, 1 Tb 2.77, 3 Sm 2.83-2.84
S 0.2474 0.1669 0.2416  2 Y 2.77, 1 Tb 2.78, 3 Sm 2.83-2.84


The following is a DFT calculation (PBE) of Tb4SmY3S8 after structural relaxation.

Results
**Total energy**: -323.0 eV/cell
**N(E_F)**: 0.58 states/eV per atom

Cell: 7.8714 7.8714 19.2773 Å, 90.00 90.00 120.00°
Last column: nearest neighbours and their distance in Å.
Space group R-3m (No. 166, hexagonal axes)
One atom of each set of equivalent atoms:
Tb 0.0000 0.0000 0.0000  6 S 2.75
Tb 0.0000 0.5000 0.0000  6 S 2.79
Sm 0.0000 0.0000 0.5000  6 S 2.81
Y 0.0000 0.5000 0.5000  6 S 2.78
S 0.0000 0.0000 0.2497  3 Y 2.78, 3 Tb 2.79
S 0.0040 0.5020 0.7493  3 Tb 2.75-2.79, 2 Y 2.78, 1 Sm 2.81


> Which of these has the lowest total energy?

TbSm3Y4S8


What did the tenth record say?
The following is a DFT calculation (PBE) of Tb3SmY4S8 after structural relaxation.

Results
**Total energy**: -328.5 eV/cell
**N(E_F)**: 0.59 states/eV per atom

Cell: 7.8672 7.8672 19.2797 Å, 90.00 90.00 120.00°
Last column: nearest neighbours and their distance in Å.
Space group R-3m (No. 166, hexagonal axes)
One atom of each set of equivalent atoms:
Tb 0.0000 0.5000 0.0000  6 S 2.79
Sm 0.0000 0.0000 0.0000  6 S 2.82
Y 0.0000 0.0000 0.5000  6 S 2.75
Y 0.0000 0.5000 0.5000  6 S 2.78
S 0.0000 0.0000 0.2497  3 Y 2.78, 3 Tb 2.79
S 0.0036 0.5018 0.2488  3 Y 2.75-2.78, 2 Tb 2.79, 1 Sm 2.82


> What is the formula in the twelfth record?

Tb4SmY3S8


> Look up the N(E_F) of the first one.

0.62 states/eV per atom